## Li2Cr2O7 (GGA+U)

Data for crystalline Li2Cr2O7 at its relaxed geometry.

Unit cell a=8.1774 b=8.1774 c=5.3880 alpha=83.81 beta=83.81 gamma=63.21
With the nearest neighbours (Å) after each atom.
Fractional positions:
Li 0.7366 0.8627 0.8853  5 O 2.04-2.25
Li 0.8627 0.7366 0.3853  5 O 2.04-2.25
Li 0.1373 0.2634 0.6147  5 O 2.04-2.25
Li 0.2634 0.1373 0.1147  5 O 2.04-2.25
Cr 0.1656 0.6022 0.8668  4 O 1.62-1.77
Cr 0.6022 0.1656 0.3668  4 O 1.62-1.77
Cr 0.3978 0.8344 0.6332  4 O 1.62-1.77
Cr 0.8344 0.3978 0.1332  4 O 1.62-1.77
O 0.6559 0.1085 0.6549  1 Cr 1.62
O 0.1085 0.6559 0.1549  1 Cr 1.62
O 0.9861 0.7243 0.7000  1 Cr 1.65
O 0.7243 0.9861 0.2000  1 Cr 1.65
O 0.2258 0.3826 0.8513  1 Cr 1.64
O 0.3826 0.2258 0.3513  1 Cr 1.64
O 0.6174 0.7742 0.6487  1 Cr 1.64
O 0.7742 0.6174 0.1487  1 Cr 1.64
O 0.2757 0.0139 0.8000  1 Cr 1.65
O 0.0139 0.2757 0.3000  1 Cr 1.65
O 0.8915 0.3441 0.8451  1 Cr 1.62
O 0.3441 0.8915 0.3451  1 Cr 1.62
O 0.3544 0.6456 0.7500  2 Cr 1.77
O 0.6456 0.3544 0.2500  2 Cr 1.77

Results
symmetry = C2/c, No. 15
ΔE to the lowest computed polymorph = 13 meV per atom
total DFT energy (no corrections) = -6.3312 eV per atom
density of states at the Fermi level = 0.0 states/eV/f.u.